1.
This record from Alexandria describes crystalline NdHCO4 at its relaxed geometry. The functional is GGA-PBE.

Computed properties:
Space group: P2_12_12_1
Density of states at the Fermi level, states/eV/atom: 0.000
E, eV per atom: -7.4597
Crystal system: orthorhombic

a b c (Å): 4.9952 7.3231 8.6505
angles (deg): 90.00 90.00 90.00
Last column: nearest neighbours and their distance in Å.
Positions (direct):
Nd (0.0045, 0.1088, 0.3333)  7 O 2.36-2.60
Nd (0.4955, 0.8912, 0.8333)  7 O 2.36-2.60
Nd (0.5045, 0.3912, 0.6667)  7 O 2.36-2.60
Nd (0.9955, 0.6088, 0.1667)  7 O 2.36-2.60
H (0.1302, 0.2532, 0.0297)  1 O 0.98
H (0.3698, 0.7468, 0.5297)  1 O 0.98
H (0.6302, 0.2468, 0.9703)  1 O 0.98
H (0.8698, 0.7532, 0.4703)  1 O 0.98
C (0.0031, 0.0532, 0.6747)  3 O 1.29-1.30
C (0.4969, 0.9468, 0.1747)  3 O 1.29-1.30
C (0.5031, 0.4468, 0.3253)  3 O 1.29-1.30
C (0.9969, 0.5532, 0.8253)  3 O 1.29-1.30
O (0.0011, 0.7912, 0.3921)  1 H 0.98
O (0.0065, 0.4542, 0.7022)  1 C 1.29
O (0.2148, 0.6022, 0.8952)  1 C 1.30
O (0.2341, 0.0959, 0.6155)  1 C 1.30
O (0.2659, 0.9041, 0.1155)  1 C 1.30
O (0.2852, 0.3978, 0.3952)  1 C 1.30
O (0.4935, 0.5458, 0.2022)  1 C 1.29
O (0.4989, 0.2088, 0.8921)  1 H 0.98
O (0.5011, 0.7088, 0.6079)  1 H 0.98
O (0.5065, 0.0458, 0.2978)  1 C 1.29
O (0.7148, 0.8978, 0.1048)  1 C 1.30
O (0.7341, 0.4041, 0.3845)  1 C 1.30
O (0.7659, 0.5959, 0.8845)  1 C 1.30
O (0.7852, 0.1022, 0.6048)  1 C 1.30
O (0.9935, 0.9542, 0.7978)  1 C 1.29
O (0.9989, 0.2912, 0.1079)  1 H 0.98



2.
This record from Alexandria describes crystalline CoHgMo2 at its relaxed geometry. The functional is GGA-PBE.

Computed properties:
Space group: I-4m2
Density of states at the Fermi level, states/eV/atom: 1.069
E, eV per atom: -6.7591
Crystal system: tetragonal

a b c (Å): 4.8376 4.8376 4.8376
angles (deg): 131.24 131.24 71.43
Last column: nearest neighbours and their distance in Å.
Positions (direct):
Co (0.0000, 0.0000, 0.0000)  4 Hg 2.80, 8 Mo 2.80-2.82
Hg (0.2500, 0.7500, 0.5000)  8 Mo 2.80-2.82, 4 Co 2.80
Mo (0.5000, 0.5000, 0.0000)  4 Hg 2.80, 4 Mo 2.80, 4 Co 2.82
Mo (0.7500, 0.2500, 0.5000)  4 Mo 2.80, 4 Co 2.80, 4 Hg 2.82



3.
This record from Alexandria describes crystalline TbAgH2C2SO9 at its relaxed geometry. The functional is GGA-PBE.

Computed properties:
Space group: C2/m
Density of states at the Fermi level, states/eV/atom: 0.000
E, eV per atom: -6.6255
Crystal system: monoclinic

a b c (Å): 7.7513 7.7513 9.2343
angles (deg): 113.69 113.69 53.48
Last column: nearest neighbours and their distance in Å.
Positions (direct):
Tb (0.2443, 0.2443, 0.2627)  8 O 2.29-2.48
Tb (0.7557, 0.7557, 0.7373)  8 O 2.29-2.48
Ag (0.0798, 0.0798, 0.6679)  2 O 2.29
Ag (0.9202, 0.9202, 0.3321)  2 O 2.29
H (0.3055, 0.3055, 0.9843)  1 O 0.98
H (0.4165, 0.4165, 0.1455)  1 O 0.99
H (0.5835, 0.5835, 0.8545)  1 O 0.99
H (0.6945, 0.6945, 0.0157)  1 O 0.98
C (0.0177, 0.0177, 0.9321)  2 O 1.27
C (0.3909, 0.6091, 0.5000)  2 O 1.27
C (0.6091, 0.3909, 0.5000)  2 O 1.27
C (0.9823, 0.9823, 0.0679)  2 O 1.27
S (0.3291, 0.3291, 0.7014)  4 O 1.46-1.50
S (0.6709, 0.6709, 0.2986)  4 O 1.46-1.50
O (0.0559, 0.0559, 0.2128)  1 C 1.27
O (0.1185, 0.1185, 0.9747)  1 C 1.27
O (0.1279, 0.4713, 0.7713)  1 S 1.50
O (0.2211, 0.6024, 0.4080)  1 C 1.27
O (0.2618, 0.2618, 0.5218)  1 S 1.49
O (0.3368, 0.3368, 0.1026)  2 H 0.98-0.99
O (0.3976, 0.7789, 0.5920)  1 C 1.27
O (0.4445, 0.4445, 0.7444)  1 S 1.46
O (0.4713, 0.1279, 0.7713)  1 S 1.50
O (0.5287, 0.8721, 0.2287)  1 S 1.50
O (0.5555, 0.5555, 0.2556)  1 S 1.46
O (0.6024, 0.2211, 0.4080)  1 C 1.27
O (0.6632, 0.6632, 0.8974)  2 H 0.98-0.99
O (0.7382, 0.7382, 0.4782)  1 S 1.49
O (0.7789, 0.3976, 0.5920)  1 C 1.27
O (0.8721, 0.5287, 0.2287)  1 S 1.50
O (0.8815, 0.8815, 0.0253)  1 C 1.27
O (0.9441, 0.9441, 0.7872)  1 C 1.27